(1)
# PBE Al2ZnMo, optimized geometry
data_Al2ZnMo
_chemical_formula_sum 'Al8 Zn4 Mo4'
_symmetry_space_group_name_H-M 'F -4 3 m'
_symmetry_Int_Tables_number 216
_symmetry_space_group_name_Hall 'F -4 2 3'
_cell_length_a 6.2335
_cell_length_b 6.2335
_cell_length_c 6.2335
_cell_angle_alpha 90.00
_cell_angle_beta 90.00
_cell_angle_gamma 90.00
loop_
_atom_site_label
_atom_site_fract_x
_atom_site_fract_y
_atom_site_fract_z
_atom_site_occupancy
Al1 0.0000 0.0000 0.0000 1
Al2 0.2500 0.2500 0.2500 1
Zn1 0.2500 0.2500 0.7500 1
Mo1 0.0000 0.0000 0.5000 1
# Total energy ... -4.68 eV per atom
# V ... 242 Å³ per cell
# Total moment ... 0.0 Bohr magnetons per cell



(2)
# PBE AlZn2Mo, optimized geometry
data_AlZn2Mo
_chemical_formula_sum 'Al4 Zn8 Mo4'
_symmetry_space_group_name_H-M 'F -4 3 m'
_symmetry_Int_Tables_number 216
_symmetry_space_group_name_Hall 'F -4 2 3'
_cell_length_a 6.1880
_cell_length_b 6.1880
_cell_length_c 6.1880
_cell_angle_alpha 90.00
_cell_angle_beta 90.00
_cell_angle_gamma 90.00
loop_
_atom_site_label
_atom_site_fract_x
_atom_site_fract_y
_atom_site_fract_z
_atom_site_occupancy
Al1 0.0000 0.0000 0.0000 1
Zn1 0.0000 0.0000 0.5000 1
Zn2 0.2500 0.2500 0.7500 1
Mo1 0.2500 0.2500 0.2500 1
# Total energy ... -4.05 eV per atom
# V ... 237 Å³ per cell
# Total moment ... 0.1 Bohr magnetons per cell



(3)
# PBE ZrAl2Mo2, optimized geometry
data_ZrAl2Mo2
_chemical_formula_sum 'Zr2 Al4 Mo4'
_symmetry_space_group_name_H-M 'I 4/m m m'
_symmetry_Int_Tables_number 139
_symmetry_space_group_name_Hall '-I 4 2'
_cell_length_a 3.7943
_cell_length_b 3.7943
_cell_length_c 12.6585
_cell_angle_alpha 90.00
_cell_angle_beta 90.00
_cell_angle_gamma 90.00
loop_
_atom_site_label
_atom_site_fract_x
_atom_site_fract_y
_atom_site_fract_z
_atom_site_occupancy
Zr1 0.0000 0.0000 0.0000 1
Al1 0.0000 0.5000 0.2500 1
Mo1 0.0000 0.0000 0.4029 1
# Total energy ... -7.32 eV per atom
# V ... 182 Å³ per cell
# Total moment ... 0.0 Bohr magnetons per cell



(4)
# PBE ZrAl2Mo2, optimized geometry
data_ZrAl2Mo2
_chemical_formula_sum 'Zr2 Al4 Mo4'
_symmetry_space_group_name_H-M 'I 4/m m m'
_symmetry_Int_Tables_number 139
_symmetry_space_group_name_Hall '-I 4 2'
_cell_length_a 3.7992
_cell_length_b 3.7992
_cell_length_c 12.2227
_cell_angle_alpha 90.00
_cell_angle_beta 90.00
_cell_angle_gamma 90.00
loop_
_atom_site_label
_atom_site_fract_x
_atom_site_fract_y
_atom_site_fract_z
_atom_site_occupancy
Zr1 0.0000 0.0000 0.0000 1
Al1 0.0000 0.0000 0.4008 1
Mo1 0.0000 0.5000 0.2500 1
# Total energy ... -7.67 eV per atom
# V ... 176 Å³ per cell
# Total moment ... 0.0 Bohr magnetons per cell



- What is the total moment in the second record?
  0.1 Bohr magnetons per cell